# Pr4AuSe5 PBE-GGA optimized geometry
data_Pr4AuSe5
_chemical_formula_sum 'Pr8 Au2 Se10'
_cell_length_a 9.255
_cell_length_b 9.758
_cell_length_c 7.433
_cell_angle_alpha 90.00
_cell_angle_beta 90.00
_cell_angle_gamma 90.00
_symmetry_space_group_name_H-M 'P 1'
_symmetry_Int_Tables_number 1
loop_
_symmetry_equiv_pos_as_xyz
'x,y,z'
loop_
_atom_site_label
_atom_site_type_symbol
_atom_site_fract_x
_atom_site_fract_y
_atom_site_fract_z
Pr1 Pr 0.003 0.250 0.042
Pr2 Pr 0.250 0.502 0.526
Pr3 Pr 0.250 0.998 0.526
Pr4 Pr 0.497 0.250 0.042
Pr5 Pr 0.503 0.750 0.958
Pr6 Pr 0.750 0.002 0.474
Pr7 Pr 0.750 0.498 0.474
Pr8 Pr 0.997 0.750 0.958
Au1 Au 0.250 0.250 0.301
Au2 Au 0.750 0.750 0.699
Se1 Se 0.017 0.542 0.246
Se2 Se 0.017 0.958 0.246
Se3 Se 0.250 0.750 0.739
Se4 Se 0.483 0.542 0.246
Se5 Se 0.483 0.958 0.246
Se6 Se 0.517 0.042 0.754
Se7 Se 0.517 0.458 0.754
Se8 Se 0.750 0.250 0.261
Se9 Se 0.983 0.042 0.754
Se10 Se 0.983 0.458 0.754
# D(E_F) = 2.83 states/eV/f.u.
# size of the total moment = 0.00 μB/cell
# symmetry = Pmmn, No. 59
# energy relative to the elements, uncorrected = -1424 kJ/mol of formula units
# volume = 671 Å³/cell
# energy = -5.458 eV/atom


# ZrNi2B2 PBE-GGA optimized geometry
data_ZrNi2B2
_chemical_formula_sum 'Zr2 Ni4 B4'
_cell_length_a 5.200
_cell_length_b 5.200
_cell_length_c 6.435
_cell_angle_alpha 90.00
_cell_angle_beta 90.00
_cell_angle_gamma 142.39
_symmetry_space_group_name_H-M 'P 1'
_symmetry_Int_Tables_number 1
loop_
_symmetry_equiv_pos_as_xyz
'x,y,z'
loop_
_atom_site_label
_atom_site_type_symbol
_atom_site_fract_x
_atom_site_fract_y
_atom_site_fract_z
Zr1 Zr 0.083 0.917 0.500
Zr2 Zr 0.917 0.083 0.000
Ni1 Ni 0.193 0.807 0.108
Ni2 Ni 0.381 0.619 0.352
Ni3 Ni 0.619 0.381 0.852
Ni4 Ni 0.807 0.193 0.608
B1 B 0.260 0.740 0.801
B2 B 0.426 0.574 0.689
B3 B 0.574 0.426 0.189
B4 B 0.740 0.260 0.301
# formation energy from the elements = -0.604 eV/atom
# D(E_F) = 3.36 states/eV/f.u.
# size of the total moment = 0.00 μB/cell
# symmetry = Cmc2_1, No. 36
# volume = 106 Å³/cell
# energy = -7.298 eV/atom


# Te2MoAs PBE-GGA optimized geometry
data_Te2MoAs
_chemical_formula_sum 'Te2 Mo1 As1'
_cell_length_a 9.389
_cell_length_b 9.389
_cell_length_c 9.389
_cell_angle_alpha 22.28
_cell_angle_beta 22.28
_cell_angle_gamma 22.28
_symmetry_space_group_name_H-M 'P 1'
_symmetry_Int_Tables_number 1
loop_
_symmetry_equiv_pos_as_xyz
'x,y,z'
loop_
_atom_site_label
_atom_site_type_symbol
_atom_site_fract_x
_atom_site_fract_y
_atom_site_fract_z
Te1 Te 0.095 0.095 0.095
Te2 Te 0.905 0.905 0.905
Mo1 Mo 0.000 0.000 0.000
As1 As 0.500 0.500 0.500
# D(E_F) = 4.17 states/eV/f.u.
# size of the total moment = 1.77 μB/cell
# symmetry = R-3m, No. 166
# energy relative to the elements, uncorrected = 360 kJ/mol of formula units
# volume = 104 Å³/cell
# energy = -4.508 eV/atom


# InCo2Pt PBE-GGA optimized geometry
data_InCo2Pt
_chemical_formula_sum 'In1 Co2 Pt1'
_cell_length_a 4.676
_cell_length_b 4.676
_cell_length_c 4.787
_cell_angle_alpha 101.24
_cell_angle_beta 101.24
_cell_angle_gamma 35.31
_symmetry_space_group_name_H-M 'P 1'
_symmetry_Int_Tables_number 1
loop_
_symmetry_equiv_pos_as_xyz
'x,y,z'
loop_
_atom_site_label
_atom_site_type_symbol
_atom_site_fract_x
_atom_site_fract_y
_atom_site_fract_z
In1 In 0.000 0.000 0.000
Co1 Co 0.246 0.246 0.719
Co2 Co 0.754 0.754 0.281
Pt1 Pt 0.500 0.500 0.500
# formation energy from the elements = 0.084 eV/atom
# D(E_F) = 5.38 states/eV/f.u.
# size of the total moment = 3.09 μB/cell
# symmetry = C2/m, No. 12
# volume = 59 Å³/cell
# energy = -5.664 eV/atom


# Ac2Al4Cd3Hg PBE-GGA optimized geometry
data_Ac2Al4Cd3Hg
_chemical_formula_sum 'Ac2 Al4 Cd3 Hg1'
_cell_length_a 4.623
_cell_length_b 4.623
_cell_length_c 11.429
_cell_angle_alpha 90.00
_cell_angle_beta 90.00
_cell_angle_gamma 90.00
_symmetry_space_group_name_H-M 'P 1'
_symmetry_Int_Tables_number 1
loop_
_symmetry_equiv_pos_as_xyz
'x,y,z'
loop_
_atom_site_label
_atom_site_type_symbol
_atom_site_fract_x
_atom_site_fract_y
_atom_site_fract_z
Ac1 Ac 0.000 0.500 0.249
Ac2 Ac 0.500 0.000 0.751
Al1 Al 0.000 0.000 0.000
Al2 Al 0.000 0.500 0.634
Al3 Al 0.500 0.000 0.366
Al4 Al 0.500 0.500 0.000
Cd1 Cd 0.000 0.500 0.867
Cd2 Cd 0.500 0.000 0.133
Cd3 Cd 0.500 0.500 0.500
Hg1 Hg 0.000 0.000 0.500
# formation energy from the elements = -0.305 eV/atom
# D(E_F) = 2.86 states/eV/f.u.
# size of the total moment = 0.00 μB/cell
# symmetry = P-4m2, No. 115
# volume = 244 Å³/cell
# energy = -2.928 eV/atom


# CaFe2Te PBE-GGA optimized geometry
data_CaFe2Te
_chemical_formula_sum 'Ca2 Fe4 Te2'
_cell_length_a 6.264
_cell_length_b 6.264
_cell_length_c 6.264
_cell_angle_alpha 102.40
_cell_angle_beta 102.40
_cell_angle_gamma 124.79
_symmetry_space_group_name_H-M 'P 1'
_symmetry_Int_Tables_number 1
loop_
_symmetry_equiv_pos_as_xyz
'x,y,z'
loop_
_atom_site_label
_atom_site_type_symbol
_atom_site_fract_x
_atom_site_fract_y
_atom_site_fract_z
Ca1 Ca 0.000 0.000 0.000
Ca2 Ca 0.750 0.250 0.500
Fe1 Fe 0.176 0.625 0.051
Fe2 Fe 0.375 0.426 0.551
Fe3 Fe 0.574 0.125 0.949
Fe4 Fe 0.875 0.824 0.449
Te1 Te 0.250 0.750 0.500
Te2 Te 0.500 0.500 0.000
# D(E_F) = 4.60 states/eV/f.u.
# size of the total moment = 10.82 μB/cell
# excess energy over the best structure of this formula in the dataset = 13.26 kcal/mol of atoms
# symmetry = I-42d, No. 122
# energy relative to the elements, uncorrected = 178 kJ/mol of formula units
# volume = 179 Å³/cell
# energy = -5.057 eV/atom


# WAu2 PBE-GGA optimized geometry
data_WAu2
_chemical_formula_sum 'W1 Au2'
_cell_length_a 6.630
_cell_length_b 6.630
_cell_length_c 6.630
_cell_angle_alpha 155.17
_cell_angle_beta 155.17
_cell_angle_gamma 35.40
_symmetry_space_group_name_H-M 'P 1'
_symmetry_Int_Tables_number 1
loop_
_symmetry_equiv_pos_as_xyz
'x,y,z'
loop_
_atom_site_label
_atom_site_type_symbol
_atom_site_fract_x
_atom_site_fract_y
_atom_site_fract_z
W1 W 0.000 0.000 0.000
Au1 Au 0.340 0.340 0.000
Au2 Au 0.660 0.660 0.000
# formation energy from the elements = 0.317 eV/atom
# D(E_F) = 1.83 states/eV/f.u.
# size of the total moment = 0.00 μB/cell
# symmetry = I4/mmm, No. 139
# volume = 51 Å³/cell
# energy = -6.186 eV/atom


# TaV3Ge PBE-GGA optimized geometry
data_TaV3Ge
_chemical_formula_sum 'Ta4 V12 Ge4'
_cell_length_a 8.513
_cell_length_b 3.172
_cell_length_c 11.100
_cell_angle_alpha 90.00
_cell_angle_beta 90.00
_cell_angle_gamma 90.00
_symmetry_space_group_name_H-M 'P 1'
_symmetry_Int_Tables_number 1
loop_
_symmetry_equiv_pos_as_xyz
'x,y,z'
loop_
_atom_site_label
_atom_site_type_symbol
_atom_site_fract_x
_atom_site_fract_y
_atom_site_fract_z
Ta1 Ta 0.145 0.250 0.010
Ta2 Ta 0.355 0.750 0.510
Ta3 Ta 0.645 0.250 0.490
Ta4 Ta 0.855 0.750 0.990
V1 V 0.067 0.250 0.411
V2 V 0.086 0.750 0.227
V3 V 0.155 0.750 0.806
V4 V 0.345 0.250 0.306
V5 V 0.414 0.250 0.727
V6 V 0.433 0.750 0.911
V7 V 0.567 0.250 0.089
V8 V 0.586 0.750 0.273
V9 V 0.655 0.750 0.694
V10 V 0.845 0.250 0.194
V11 V 0.914 0.250 0.773
V12 V 0.933 0.750 0.589
Ge1 Ge 0.151 0.250 0.630
Ge2 Ge 0.349 0.750 0.130
Ge3 Ge 0.651 0.250 0.870
Ge4 Ge 0.849 0.750 0.370
# formation energy from the elements = -0.119 eV/atom
# D(E_F) = 5.23 states/eV/f.u.
# size of the total moment = 0.00 μB/cell
# excess energy over the best structure of this formula in the dataset = 0.00 kcal/mol of atoms
# symmetry = Pnma, No. 62
# volume = 300 Å³/cell
# energy = -8.884 eV/atom


# Sc2AlS4 PBE-GGA optimized geometry
data_Sc2AlS4
_chemical_formula_sum 'Sc2 Al1 S4'
_cell_length_a 6.868
_cell_length_b 6.868
_cell_length_c 6.353
_cell_angle_alpha 117.46
_cell_angle_beta 117.46
_cell_angle_gamma 30.44
_symmetry_space_group_name_H-M 'P 1'
_symmetry_Int_Tables_number 1
loop_
_symmetry_equiv_pos_as_xyz
'x,y,z'
loop_
_atom_site_label
_atom_site_type_symbol
_atom_site_fract_x
_atom_site_fract_y
_atom_site_fract_z
Sc1 Sc 0.234 0.234 0.219
Sc2 Sc 0.766 0.766 0.781
Al1 Al 0.500 0.500 0.500
S1 S 0.123 0.123 0.468
S2 S 0.386 0.386 0.072
S3 S 0.614 0.614 0.928
S4 S 0.877 0.877 0.532
# D(E_F) = 3.44 states/eV/f.u.
# size of the total moment = 0.00 μB/cell
# excess energy over the best structure of this formula in the dataset = 1.85 kcal/mol of atoms
# symmetry = C2/m, No. 12
# energy relative to the elements, uncorrected = -1036 kJ/mol of formula units
# volume = 133 Å³/cell
# energy = -6.235 eV/atom


# Nd6AlIn5 PBE-GGA optimized geometry
data_Nd6AlIn5
_chemical_formula_sum 'Nd6 Al1 In5'
_cell_length_a 8.614
_cell_length_b 8.614
_cell_length_c 7.713
_cell_angle_alpha 90.00
_cell_angle_beta 90.00
_cell_angle_gamma 143.13
_symmetry_space_group_name_H-M 'P 1'
_symmetry_Int_Tables_number 1
loop_
_symmetry_equiv_pos_as_xyz
'x,y,z'
loop_
_atom_site_label
_atom_site_type_symbol
_atom_site_fract_x
_atom_site_fract_y
_atom_site_fract_z
Nd1 Nd 0.000 0.000 0.245
Nd2 Nd 0.000 0.000 0.755
Nd3 Nd 0.336 0.664 0.248
Nd4 Nd 0.336 0.664 0.752
Nd5 Nd 0.664 0.336 0.248
Nd6 Nd 0.664 0.336 0.752
Al1 Al 0.500 0.500 0.000
In1 In 0.168 0.832 0.000
In2 In 0.168 0.832 0.500
In3 In 0.500 0.500 0.500
In4 In 0.832 0.168 0.000
In5 In 0.832 0.168 0.500
# formation energy from the elements = -0.466 eV/atom
# D(E_F) = 5.69 states/eV/f.u.
# size of the total moment = 0.00 μB/cell
# symmetry = Cmmm, No. 65
# volume = 343 Å³/cell
# energy = -4.303 eV/atom


# HgAuSe2 PBE-GGA optimized geometry
data_HgAuSe2
_chemical_formula_sum 'Hg1 Au1 Se2'
_cell_length_a 3.813
_cell_length_b 3.813
_cell_length_c 6.747
_cell_angle_alpha 90.00
_cell_angle_beta 90.00
_cell_angle_gamma 90.00
_symmetry_space_group_name_H-M 'P 1'
_symmetry_Int_Tables_number 1
loop_
_symmetry_equiv_pos_as_xyz
'x,y,z'
loop_
_atom_site_label
_atom_site_type_symbol
_atom_site_fract_x
_atom_site_fract_y
_atom_site_fract_z
Hg1 Hg 0.000 0.000 0.000
Au1 Au 0.500 0.500 0.854
Se1 Se 0.000 0.000 0.431
Se2 Se 0.500 0.500 0.460
# D(E_F) = 1.73 states/eV/f.u.
# size of the total moment = 0.00 μB/cell
# symmetry = P4mm, No. 99
# energy relative to the elements, uncorrected = 51 kJ/mol of formula units
# volume = 98 Å³/cell
# energy = -2.505 eV/atom


# TlZnSe4 PBE-GGA optimized geometry
data_TlZnSe4
_chemical_formula_sum 'Tl1 Zn1 Se4'
_cell_length_a 5.895
_cell_length_b 5.895
_cell_length_c 5.895
_cell_angle_alpha 60.00
_cell_angle_beta 60.00
_cell_angle_gamma 60.00
_symmetry_space_group_name_H-M 'P 1'
_symmetry_Int_Tables_number 1
loop_
_symmetry_equiv_pos_as_xyz
'x,y,z'
loop_
_atom_site_label
_atom_site_type_symbol
_atom_site_fract_x
_atom_site_fract_y
_atom_site_fract_z
Tl1 Tl 0.000 0.000 0.000
Zn1 Zn 0.750 0.750 0.750
Se1 Se 0.378 0.378 0.378
Se2 Se 0.378 0.378 0.866
Se3 Se 0.378 0.866 0.378
Se4 Se 0.866 0.378 0.378
# D(E_F) = 4.00 states/eV/f.u.
# size of the total moment = 0.00 μB/cell
# symmetry = F-43m, No. 216
# energy relative to the elements, uncorrected = 164 kJ/mol of formula units
# volume = 145 Å³/cell
# energy = -2.647 eV/atom